Record 1
A plane-wave DFT calculation with PBE-GGA was carried out for crystalline TbGdMgZn at its relaxed geometry.

Its size of the total moment is 31.5 μB/cell.

The space group is F-43m (No. 216) and the conventional cell measures 7.3940, 7.3940 and 7.3940 Å, with angles of 90.00, 90.00 and 90.00 degrees. The distinct sites, in fractional coordinates, are Tb at (0.0000, 0.0000, 0.0000), Gd at (0.0000, 0.0000, 0.5000), Mg at (0.2500, 0.2500, 0.2500) and Zn at (0.2500, 0.2500, 0.7500).

---

Record 2
A plane-wave DFT calculation with PBE-GGA was carried out for crystalline TbGdMgZr at its relaxed geometry.

Its size of the total moment is 35.9 μB/cell.

The space group is F-43m (No. 216) and the conventional cell measures 7.5868, 7.5868 and 7.5868 Å, with angles of 90.00, 90.00 and 90.00 degrees. The distinct sites, in fractional coordinates, are Tb at (0.0000, 0.0000, 0.0000), Gd at (0.0000, 0.0000, 0.5000), Mg at (0.2500, 0.2500, 0.2500) and Zr at (0.2500, 0.2500, 0.7500).

---

Record 3
A plane-wave DFT calculation with PBE-GGA was carried out for crystalline Gd2MgTc at its relaxed geometry.

Its size of the total moment is 14.3 μB/cell.

The space group is P4/mmm (No. 123) and the conventional cell measures 3.4845, 3.4845 and 8.1594 Å, with angles of 90.00, 90.00 and 90.00 degrees. The distinct sites, in fractional coordinates, are Gd at (0.0000, 0.0000, 0.2027), Mg at (0.5000, 0.5000, 0.5000) and Tc at (0.5000, 0.5000, 0.0000).

---

Record 4
A plane-wave DFT calculation with PBE-GGA was carried out for crystalline Gd2MgTc at its relaxed geometry.

Its size of the total moment is 44.7 μB/cell.

The space group is R-3m (No. 166, hexagonal axes) and the conventional cell measures 3.4660, 3.4660 and 29.5421 Å, with angles of 90.00, 90.00 and 120.00 degrees. The distinct sites, in fractional coordinates, are Gd at (0.0000, 0.0000, 0.2356), Mg at (0.0000, 0.0000, 0.0000) and Tc at (0.0000, 0.0000, 0.5000).

---

Record 5
A plane-wave DFT calculation with PBE-GGA was carried out for crystalline GdMgTc4 at its relaxed geometry.

Its size of the total moment is 27.6 μB/cell.

The space group is F-43m (No. 216) and the conventional cell measures 7.5309, 7.5309 and 7.5309 Å, with angles of 90.00, 90.00 and 90.00 degrees. The distinct sites, in fractional coordinates, are Gd at (0.0000, 0.0000, 0.0000), Mg at (0.2500, 0.2500, 0.7500) and Tc at (0.1245, 0.1245, 0.3755).

---

Record 6
A plane-wave DFT calculation with PBE-GGA was carried out for crystalline GdThMgTc at its relaxed geometry.

Its size of the total moment is 27.6 μB/cell.

The space group is F-43m (No. 216) and the conventional cell measures 7.2747, 7.2747 and 7.2747 Å, with angles of 90.00, 90.00 and 90.00 degrees. The distinct sites, in fractional coordinates, are Gd at (0.0000, 0.0000, 0.0000), Th at (0.0000, 0.0000, 0.5000), Mg at (0.2500, 0.2500, 0.7500) and Tc at (0.2500, 0.2500, 0.2500).

---

Record 7
A plane-wave DFT calculation with PBE-GGA was carried out for crystalline GdTmMgTc at its relaxed geometry.

Its size of the total moment is 28.6 μB/cell.

The space group is F-43m (No. 216) and the conventional cell measures 7.0967, 7.0967 and 7.0967 Å, with angles of 90.00, 90.00 and 90.00 degrees. The distinct sites, in fractional coordinates, are Gd at (0.0000, 0.0000, 0.0000), Tm at (0.0000, 0.0000, 0.5000), Mg at (0.2500, 0.2500, 0.7500) and Tc at (0.2500, 0.2500, 0.2500).

---

Record 8
A plane-wave DFT calculation with PBE-GGA was carried out for crystalline GdMgZrTc at its relaxed geometry.

Its size of the total moment is 28.9 μB/cell.

The space group is F-43m (No. 216) and the conventional cell measures 6.9625, 6.9625 and 6.9625 Å, with angles of 90.00, 90.00 and 90.00 degrees. The distinct sites, in fractional coordinates, are Gd at (0.0000, 0.0000, 0.0000), Mg at (0.2500, 0.2500, 0.2500), Zr at (0.0000, 0.0000, 0.5000) and Tc at (0.2500, 0.2500, 0.7500).

---

Record 9
A plane-wave DFT calculation with PBE-GGA was carried out for crystalline GdThMg4 at its relaxed geometry.

Its size of the total moment is 32.1 μB/cell.

The space group is F-43m (No. 216) and the conventional cell measures 8.5601, 8.5601 and 8.5601 Å, with angles of 90.00, 90.00 and 90.00 degrees. The distinct sites, in fractional coordinates, are Gd at (0.0000, 0.0000, 0.0000), Th at (0.2500, 0.2500, 0.2500) and Mg at (0.1249, 0.1249, 0.6249).

---

Record 10
A plane-wave DFT calculation with PBE-GGA was carried out for crystalline GdThMgTl at its relaxed geometry.

Its size of the total moment is 29.2 μB/cell.

The space group is F-43m (No. 216) and the conventional cell measures 7.6933, 7.6933 and 7.6933 Å, with angles of 90.00, 90.00 and 90.00 degrees. The distinct sites, in fractional coordinates, are Gd at (0.0000, 0.0000, 0.0000), Th at (0.0000, 0.0000, 0.5000), Mg at (0.2500, 0.2500, 0.2500) and Tl at (0.2500, 0.2500, 0.7500).

---

Record 11
A plane-wave DFT calculation with PBE-GGA was carried out for crystalline GdTmThMg at its relaxed geometry.

Its size of the total moment is 32.2 μB/cell.

The space group is F-43m (No. 216) and the conventional cell measures 7.8003, 7.8003 and 7.8003 Å, with angles of 90.00, 90.00 and 90.00 degrees. The distinct sites, in fractional coordinates, are Gd at (0.0000, 0.0000, 0.0000), Tm at (0.2500, 0.2500, 0.7500), Th at (0.0000, 0.0000, 0.5000) and Mg at (0.2500, 0.2500, 0.2500).

---

Record 12
A plane-wave DFT calculation with PBE-GGA was carried out for crystalline GdYThMg at its relaxed geometry.

Its size of the total moment is 35.3 μB/cell.

The space group is F-43m (No. 216) and the conventional cell measures 7.8792, 7.8792 and 7.8792 Å, with angles of 90.00, 90.00 and 90.00 degrees. The distinct sites, in fractional coordinates, are Gd at (0.0000, 0.0000, 0.0000), Y at (0.0000, 0.0000, 0.5000), Th at (0.2500, 0.2500, 0.7500) and Mg at (0.2500, 0.2500, 0.2500).

---

Record 13
A plane-wave DFT calculation with PBE-GGA was carried out for crystalline Gd2MgTi at its relaxed geometry.

As for the energy above the lowest structure with this stoichiometry: 324 meV per atom. Its size of the total moment is 49.9 μB/cell.

The space group is R-3m (No. 166, hexagonal axes) and the conventional cell measures 3.2330, 3.2330 and 35.0919 Å, with angles of 90.00, 90.00 and 120.00 degrees. The distinct sites, in fractional coordinates, are Gd at (0.0000, 0.0000, 0.0842), Mg at (0.0000, 0.0000, 0.5000) and Ti at (0.0000, 0.0000, 0.0000).

---

Record 14
A plane-wave DFT calculation with PBE-GGA was carried out for crystalline Gd2MgTi at its relaxed geometry.

As for the energy above the lowest structure with this stoichiometry: 0 meV per atom. Its size of the total moment is 14.5 μB/cell.

The space group is P4/mmm (No. 123) and the conventional cell measures 3.3796, 3.3796 and 9.1069 Å, with angles of 90.00, 90.00 and 90.00 degrees. The distinct sites, in fractional coordinates, are Gd at (0.0000, 0.0000, 0.2322), Mg at (0.5000, 0.5000, 0.5000) and Ti at (0.5000, 0.5000, 0.0000).

---

Record 15
A plane-wave DFT calculation with PBE-GGA was carried out for crystalline Gd2MgTi at its relaxed geometry.

As for the energy above the lowest structure with this stoichiometry: 65 meV per atom. Its size of the total moment is 16.8 μB/cell.

The space group is P4/mmm (No. 123) and the conventional cell measures 5.2171, 5.2171 and 3.8593 Å, with angles of 90.00, 90.00 and 90.00 degrees. The distinct sites, in fractional coordinates, are Gd at (0.0000, 0.5000, 0.0000), Mg at (0.0000, 0.0000, 0.5000) and Ti at (0.5000, 0.5000, 0.5000).

---

Record 16
A plane-wave DFT calculation with PBE-GGA was carried out for crystalline Gd2MgTi at its relaxed geometry.

As for the energy above the lowest structure with this stoichiometry: 61 meV per atom. Its size of the total moment is 65.9 μB/cell.

The space group is Fm-3m (No. 225) and the conventional cell measures 7.4773, 7.4773 and 7.4773 Å, with angles of 90.00, 90.00 and 90.00 degrees. The distinct sites, in fractional coordinates, are Gd at (0.2500, 0.2500, 0.2500), Mg at (0.0000, 0.0000, 0.0000) and Ti at (0.0000, 0.0000, 0.5000).

---

Across the entries above, raw total energy takes the values -5.5801, -7.0982, -10.0867, -9.8843, -9.4879, -8.3296, -7.6436, -8.6609, -4.6782, -6.4649, -6.8132, -7.2378, -9.0076, -9.3319, -9.2664, -9.2713 eV/atom, respectively.